{
  "formula": "Nb8VGa2",
  "functional": "PBE",
  "state": "relaxed",
  "lattice_angstrom": [[4.688, 0.000, 0.000], [0.000, 6.216, 0.011], [-2.344, -2.696, 6.676]],
  "species": ["Nb", "Nb", "Nb", "Nb", "Nb", "Nb", "Nb", "Nb", "V", "Ga", "Ga"],
  "frac_coords": [[0.380, 0.589, 0.759], [0.651, 0.899, 0.303], [0.829, 0.816, 0.658], [0.993, 0.265, 0.986], [0.171, 0.184, 0.342], [0.349, 0.101, 0.697], [0.620, 0.411, 0.241], [0.007, 0.735, 0.014], [0.500, 0.000, 0.000], [0.809, 0.324, 0.618], [0.191, 0.676, 0.382]],
  "dos_ef_per_ev_atom": 0.7821,
  "spacegroup": "C2/m"
}


{
  "formula": "PrSiO3",
  "functional": "PBE",
  "state": "relaxed",
  "lattice_angstrom": [[6.430, 0.036, 2.271], [2.859, 5.760, 2.271], [-0.274, -0.171, 11.561]],
  "species": ["Pr", "Pr", "Pr", "Pr", "Pr", "Pr", "Si", "Si", "Si", "Si", "Si", "Si", "O", "O", "O", "O", "O", "O", "O", "O", "O", "O", "O", "O", "O", "O", "O", "O", "O", "O"],
  "frac_coords": [[0.500, 0.000, 0.500], [0.000, 0.500, 0.000], [0.650, 0.205, 0.001], [0.795, 0.350, 0.499], [0.350, 0.795, 0.999], [0.205, 0.650, 0.501], [0.157, 0.843, 0.750], [0.843, 0.157, 0.250], [0.416, 0.321, 0.760], [0.679, 0.584, 0.740], [0.584, 0.679, 0.240], [0.321, 0.416, 0.260], [0.655, 0.345, 0.750], [0.345, 0.655, 0.250], [0.001, 0.909, 0.884], [0.091, 0.999, 0.616], [0.999, 0.091, 0.116], [0.909, 0.001, 0.384], [0.183, 0.583, 0.752], [0.417, 0.817, 0.748], [0.817, 0.417, 0.248], [0.583, 0.183, 0.252], [0.370, 0.172, 0.896], [0.828, 0.630, 0.604], [0.234, 0.459, 0.135], [0.541, 0.766, 0.365], [0.766, 0.541, 0.865], [0.459, 0.234, 0.635], [0.172, 0.370, 0.396], [0.630, 0.828, 0.104]],
  "dos_ef_per_ev_atom": 0.0752,
  "spacegroup": "C2/c",
  "e_form_raw_mev_per_atom": -2748
}


{
  "formula": "Tb2Pd5Pt",
  "functional": "PBE",
  "state": "relaxed",
  "lattice_angstrom": [[4.140, 0.000, 0.000], [0.000, 5.834, 0.000], [0.000, 0.000, 11.673]],
  "species": ["Tb", "Tb", "Tb", "Tb", "Pd", "Pd", "Pd", "Pd", "Pd", "Pd", "Pd", "Pd", "Pd", "Pd", "Pt", "Pt"],
  "frac_coords": [[0.500, 0.251, 0.625], [0.500, 0.749, 0.375], [0.500, 0.249, 0.125], [0.500, 0.751, 0.875], [0.000, 0.000, 0.000], [0.000, 0.500, 0.500], [0.000, 0.502, 0.750], [0.000, 0.498, 0.250], [0.000, 0.998, 0.250], [0.000, 0.002, 0.750], [0.500, 0.252, 0.875], [0.500, 0.748, 0.125], [0.500, 0.248, 0.375], [0.500, 0.752, 0.625], [0.000, 0.000, 0.500], [0.000, 0.500, 0.000]],
  "dos_ef_per_ev_atom": 0.8776,
  "spacegroup": "Pbam"
}


{
  "formula": "Pm3Ho2Mg8",
  "functional": "PBE",
  "state": "relaxed",
  "lattice_angstrom": [[5.850, 0.000, 0.000], [2.925, 5.067, 0.000], [2.925, 1.689, 12.519]],
  "species": ["Pm", "Pm", "Pm", "Ho", "Ho", "Mg", "Mg", "Mg", "Mg", "Mg", "Mg", "Mg", "Mg"],
  "frac_coords": [[0.000, 0.000, 0.000], [0.817, 0.817, 0.549], [0.183, 0.183, 0.451], [0.640, 0.640, 0.079], [0.360, 0.360, 0.921], [0.725, 0.725, 0.826], [0.275, 0.275, 0.174], [0.231, 0.732, 0.304], [0.732, 0.231, 0.304], [0.732, 0.732, 0.304], [0.268, 0.769, 0.696], [0.769, 0.268, 0.696], [0.268, 0.268, 0.696]],
  "dos_ef_per_ev_atom": 1.1513,
  "spacegroup": "R-3m"
}


Total DFT energy (no corrections) values, unit eV per atom, following the record order: -8.746 -7.763 -6.059 -2.672.